A relaxed structure of Y6SiSe3S2, computed with GGA-PBE.

Results
Energy relative to the elements, uncorrected (meV/atom): -1745.8
Energy (eV per atom): -6.989
Symmetry: C2/m
Theoretical density (g cm⁻³): 5.08

a b c (Å): 6.9617 6.9617 7.0994
angles (deg): 99.39 99.39 119.98
Last column: nearest neighbours and their distance in Å.
Fractional positions:
Y (0.0763, 0.4071, 0.2299)  1 Si 2.77, 2 S 2.79-2.80, 3 Se 2.94-2.95
Y (0.2542, 0.2542, 0.7707)  1 Si 2.77, 2 S 2.79, 3 Se 2.95-2.96
Y (0.4071, 0.0763, 0.2299)  1 Si 2.77, 2 S 2.79-2.80, 3 Se 2.94-2.95
Y (0.5929, 0.9237, 0.7701)  1 Si 2.77, 2 S 2.79-2.80, 3 Se 2.94-2.95
Y (0.7458, 0.7458, 0.2293)  1 Si 2.77, 2 S 2.79, 3 Se 2.95-2.96
Y (0.9237, 0.5929, 0.7701)  1 Si 2.77, 2 S 2.79-2.80, 3 Se 2.94-2.95
Si (0.0000, 0.0000, 0.0000)  6 Y 2.77
Se (0.1674, 0.8326, 0.5000)  6 Y 2.94-2.95
Se (0.5000, 0.5000, 0.5000)  6 Y 2.94-2.96
Se (0.8326, 0.1674, 0.5000)  6 Y 2.94-2.95
S (0.3334, 0.6666, 0.0000)  6 Y 2.79-2.80
S (0.6666, 0.3334, 0.0000)  6 Y 2.79-2.80

A relaxed structure of ZnSi2SeS, computed with GGA-PBE.

Results
Energy relative to the elements, uncorrected (meV/atom): 926.6
Energy (eV per atom): -3.020
Symmetry: P4/mmm
Theoretical density (g cm⁻³): 3.56

a b c (Å): 4.8005 4.8005 4.7109
angles (deg): 90.00 90.00 90.00
Last column: nearest neighbours and their distance in Å.
Fractional positions:
Zn (0.0000, 0.0000, 0.0000)  2 Se 2.36, 4 Si 2.40
Si (0.0000, 0.5000, 0.0000)  2 Zn 2.40
Si (0.5000, 0.0000, 0.0000)  2 Zn 2.40
Se (0.0000, 0.0000, 0.5000)  2 Zn 2.36
S (0.5000, 0.5000, 0.5000)  8 Si 3.36, 4 Se 3.39